This record from Alexandria via LeMat-Bulk describes a relaxed V4ZnO9 crystal. The functional is PBE+U.

Cell and atoms, written as POSCAR:
```
V4ZnO9
1.0
-3.095 2.299 -7.384
1.481 -7.630 -2.997
-4.493 -1.436 1.436
O Zn V
18 2 8
direct
0.894 0.705 0.457
0.435 0.768 0.042
0.065 0.732 0.958
0.232 0.435 0.958
0.768 0.565 0.958
0.732 0.935 0.042
0.606 0.795 0.543
0.106 0.295 0.457
0.000 0.000 0.500
0.705 0.106 0.543
0.268 0.065 0.042
0.565 0.232 0.042
0.935 0.268 0.958
0.394 0.205 0.543
0.295 0.894 0.543
0.205 0.606 0.457
0.795 0.394 0.457
0.500 0.500 0.500
0.000 0.500 0.143
0.500 0.000 0.857
0.783 0.910 0.365
0.217 0.090 0.365
0.410 0.717 0.365
0.283 0.410 0.635
0.717 0.590 0.635
0.090 0.783 0.635
0.910 0.217 0.635
0.590 0.283 0.365
```

Space-group type   No. 85
Final energy   -101.01 eV/f.u.